# 1
Compound: LiOsRu2
Source: Alexandria
Functional: PBE
Structure: relaxed

Cell and atoms, written as extended XYZ:
```
4
Lattice="9.074 -0.005 -0.003 8.669 2.682 -0.003 8.669 1.308 2.342" Properties=species:S:1:pos:R:3 pbc="T T T"
Li 6.603 0.996 0.584
Ru 13.119 1.979 1.160
Ru 0.087 0.013 0.008
Os 19.808 2.989 1.752
```

DOS at the Fermi energy = 3.06 states/eV per cell
calculated density = 11.60 g cm⁻³
E_form = 0.19 eV per atom
E_tot = -30.9 eV per formula unit
relative energy among the computed polymorphs = 6 meV/atom



# 2
Compound: Li2OsRu
Source: Alexandria
Functional: PBE
Structure: relaxed

Cell and atoms, written as extended XYZ:
```
4
Lattice="0.000 2.893 2.893 2.893 0.000 2.893 2.893 2.893 0.000" Properties=species:S:1:pos:R:3 pbc="T T T"
Os 2.893 2.893 2.893
Li 1.446 1.446 1.446
Li 4.339 4.339 4.339
Ru 0.000 0.000 0.000
```

DOS at the Fermi energy = 5.17 states/eV per cell
calculated density = 10.47 g cm⁻³
E_form = 0.69 eV per atom
E_tot = -21.6 eV per formula unit
relative energy among the computed polymorphs = 589 meV/atom



# 3
Compound: Li2OsRu
Source: Alexandria
Functional: PBE
Structure: relaxed

Cell and atoms, written as extended XYZ:
```
4
Lattice="-2.653 0.259 0.203 0.946 -2.460 -0.446 0.566 -1.459 9.258" Properties=species:S:1:pos:R:3 pbc="T T T"
Ru -0.434 -2.183 6.744
Li -0.703 -1.489 2.342
Li 0.557 -1.435 9.103
Os 0.288 -0.743 4.712
```

DOS at the Fermi energy = 4.22 states/eV per cell
calculated density = 8.47 g cm⁻³
E_form = 0.30 eV per atom
E_tot = -23.1 eV per formula unit
relative energy among the computed polymorphs = 203 meV/atom



# 4
Compound: LiOsRu2
Source: Alexandria
Functional: PBE
Structure: relaxed

Cell and atoms, written as extended XYZ:
```
4
Lattice="9.082 -0.008 -0.005 8.681 2.669 -0.005 8.681 1.300 2.330" Properties=species:S:1:pos:R:3 pbc="T T T"
Ru 6.698 1.003 0.588
Ru 26.439 3.960 2.321
Os 19.744 2.958 1.733
Li 13.231 1.982 1.161
```

DOS at the Fermi energy = 2.62 states/eV per cell
calculated density = 11.69 g cm⁻³
E_form = 0.19 eV per atom
E_tot = -30.9 eV per formula unit
relative energy among the computed polymorphs = 0 meV/atom